Entry from Alexandria via LeMat-Bulk: ReSb2Br at its PBEsol-relaxed geometry (meta-GGA SCAN).

Values from the calculation:
- Energy above the most stable polymorph in this dataset: 2.981 eV per formula unit
- ΔE_f (raw): 95.1 kJ per mole of atoms
- Theoretical density: 10.12 g/cm3
- VASP energy: -40.2840 eV per atom
- Total magnetic moment: 7.77 μB/cell

a = 6.941 Å, b = 6.941 Å, c = 6.941 Å
α = 90.00°, β = 90.00°, γ = 90.00°
Space group Fm-3m (No. 225)
Symmetry-distinct sites (fractional):
Re (0.000, 0.000, 0.000) (multiplicity 4)
Sb (0.250, 0.250, 0.250) (multiplicity 8)
Br (0.000, 0.000, 0.500) (multiplicity 4)